A plane-wave DFT calculation with GGA+U was carried out for a geometry-optimized KAlCrF6 structure.

The density of states at the Fermi level comes out at 6.6 states/eV/f.u. For the energy, the calculation gives -50.75 eV per formula unit. The calculation puts the volume at 15.604 A^3/atom. For the calculated density, the calculation gives 2.74 g/cm3.

The structure belongs to space group P-31c (No. 163); the cell edges are 5.3831, 5.3831 and 11.1923 Å and the angles 90.00°, 90.00° and 120.00°. Symmetry generates all atoms from K at (0.0000, 0.0000, 0.0000), Al at (0.3333, 0.6667, 0.2500), Cr at (0.3333, 0.6667, 0.7500) and F at (0.0413, 0.3969, 0.1568).